A geometry-optimized NbFe2OsI structure. Source: the Alexandria database, functional GGA-PBE. Values from VASP.

```
&SYSTEM
  ibrav = 0, nat = 5, ntyp = 4
/
ATOMIC_SPECIES
Fe 55.84 Fe.upf
Nb 92.91 Nb.upf
I 126.90 I.upf
Os 190.23 Os.upf
ATOMIC_POSITIONS angstrom
Fe 0.298 0.610 2.175
Nb -1.494 -1.829 0.718
I -2.985 0.184 2.744
Os 0.000 0.000 0.000
Fe -1.789 1.403 -0.148
CELL_PARAMETERS angstrom
-3.577 2.806 -0.297
-2.989 -3.658 1.436
0.596 1.220 4.349
```

The calculation puts the formation energy without anion corrections at 1.50 eV per atom.